No. 1
DFT (PBE) results for crystalline Sr4TlBi5 at its relaxed geometry.

Cell and atoms, written as CIF:
```
data_Sr4TlBi5
_chemical_formula_sum 'Sr4 Tl1 Bi5'
_space_group_name_H-M_alt 'P 1'
_space_group_IT_number 1
_space_group_name_Hall 'P 1'
_cell_length_a 9.605
_cell_length_b 9.605
_cell_length_c 9.605
_cell_angle_alpha 154.19
_cell_angle_beta 95.40
_cell_angle_gamma 90.33
loop_
_atom_site_label
_atom_site_type_symbol
_atom_site_fract_x
_atom_site_fract_y
_atom_site_fract_z
Sr1 Sr 0.198 0.500 0.698
Sr2 Sr 0.235 0.235 0.000
Sr3 Sr 0.765 0.765 0.000
Sr4 Sr 0.802 0.500 0.302
Tl1 Tl 0.500 0.500 0.000
Bi1 Bi 0.000 0.000 0.000
Bi2 Bi 0.128 0.819 0.310
Bi3 Bi 0.491 0.181 0.310
Bi4 Bi 0.509 0.819 0.690
Bi5 Bi 0.872 0.181 0.690
```

Properties
Space-group type = Immm (71)
VASP energy = -3.423 eV/atom
Total moment = 0.00 μB per formula unit

***

No. 2
DFT (PBE) results for crystalline Sr3TlBi3 at its relaxed geometry.

Cell and atoms, written as CIF:
```
data_Sr3TlBi3
_chemical_formula_sum 'Sr12 Tl4 Bi12'
_space_group_name_H-M_alt 'P 1'
_space_group_IT_number 1
_space_group_name_Hall 'P 1'
_cell_length_a 11.321
_cell_length_b 11.321
_cell_length_c 14.038
_cell_angle_alpha 90.00
_cell_angle_beta 90.00
_cell_angle_gamma 37.60
loop_
_atom_site_label
_atom_site_type_symbol
_atom_site_fract_x
_atom_site_fract_y
_atom_site_fract_z
Sr1 Sr 0.027 0.620 0.124
Sr2 Sr 0.120 0.527 0.624
Sr3 Sr 0.197 0.803 0.864
Sr4 Sr 0.303 0.697 0.364
Sr5 Sr 0.380 0.973 0.124
Sr6 Sr 0.473 0.880 0.624
Sr7 Sr 0.527 0.120 0.376
Sr8 Sr 0.620 0.027 0.876
Sr9 Sr 0.697 0.303 0.636
Sr10 Sr 0.803 0.197 0.136
Sr11 Sr 0.880 0.473 0.376
Sr12 Sr 0.973 0.380 0.876
Tl1 Tl 0.090 0.090 0.500
Tl2 Tl 0.410 0.410 0.000
Tl3 Tl 0.590 0.590 0.000
Tl4 Tl 0.910 0.910 0.500
Bi1 Bi 0.074 0.597 0.367
Bi2 Bi 0.097 0.574 0.867
Bi3 Bi 0.226 0.774 0.622
Bi4 Bi 0.274 0.726 0.122
Bi5 Bi 0.403 0.926 0.367
Bi6 Bi 0.426 0.903 0.867
Bi7 Bi 0.574 0.097 0.133
Bi8 Bi 0.597 0.074 0.633
Bi9 Bi 0.726 0.274 0.878
Bi10 Bi 0.774 0.226 0.378
Bi11 Bi 0.903 0.426 0.133
Bi12 Bi 0.926 0.403 0.633
```

Properties
Space-group type = Cmce (64)
VASP energy = -3.350 eV/atom
Total moment = 0.00 μB per formula unit

***

No. 3
DFT (PBE) results for crystalline Sr5Tl2Bi at its relaxed geometry.

Cell and atoms, written as CIF:
```
data_Sr5Tl2Bi
_chemical_formula_sum 'Sr10 Tl4 Bi2'
_space_group_name_H-M_alt 'P 1'
_space_group_IT_number 1
_space_group_name_Hall 'P 1'
_cell_length_a 10.048
_cell_length_b 10.048
_cell_length_c 10.048
_cell_angle_alpha 127.23
_cell_angle_beta 127.23
_cell_angle_gamma 77.88
loop_
_atom_site_label
_atom_site_type_symbol
_atom_site_fract_x
_atom_site_fract_y
_atom_site_fract_z
Sr1 Sr 0.000 0.000 0.000
Sr2 Sr 0.023 0.523 0.836
Sr3 Sr 0.187 0.023 0.500
Sr4 Sr 0.313 0.813 0.836
Sr5 Sr 0.477 0.313 0.500
Sr6 Sr 0.500 0.500 0.000
Sr7 Sr 0.523 0.687 0.500
Sr8 Sr 0.687 0.187 0.164
Sr9 Sr 0.813 0.977 0.500
Sr10 Sr 0.977 0.477 0.164
Tl1 Tl 0.125 0.375 0.500
Tl2 Tl 0.375 0.875 0.249
Tl3 Tl 0.625 0.125 0.751
Tl4 Tl 0.875 0.625 0.500
Bi1 Bi 0.250 0.250 0.000
Bi2 Bi 0.750 0.750 0.000
```

Properties
Space-group type = I4/mcm (140)
VASP energy = -2.622 eV/atom
Total moment = 0.00 μB per formula unit

***

No. 4
DFT (PBE) results for crystalline SrTlBi3 at its relaxed geometry.

Cell and atoms, written as CIF:
```
data_SrTlBi3
_chemical_formula_sum 'Sr1 Tl1 Bi3'
_space_group_name_H-M_alt 'P 1'
_space_group_IT_number 1
_space_group_name_Hall 'P 1'
_cell_length_a 6.159
_cell_length_b 6.159
_cell_length_c 6.159
_cell_angle_alpha 90.00
_cell_angle_beta 90.00
_cell_angle_gamma 90.00
loop_
_atom_site_label
_atom_site_type_symbol
_atom_site_fract_x
_atom_site_fract_y
_atom_site_fract_z
Sr1 Sr 0.000 0.000 0.000
Tl1 Tl 0.500 0.500 0.500
Bi1 Bi 0.000 0.000 0.500
Bi2 Bi 0.000 0.500 0.000
Bi3 Bi 0.500 0.000 0.000
```

Properties
Energy relative to the lowest polymorph listed for this composition = 240.0 meV per atom
Space-group type = Pm-3m (221)
Total moment = 0.00 μB per formula unit